Here is an optimized crystal structure of FeIrBr3 from the Alexandria database. Energies are from PBE.

The uncorrected formation energy is 72.59 kJ/mol of atoms.

The space group is Pm-3m (No. 221) and the conventional cell measures 5.0825, 5.0825 and 5.0825 Å, with angles of 90.00, 90.00 and 90.00 degrees. The distinct sites, in fractional coordinates, are Fe at (0.0000, 0.0000, 0.0000), Ir at (0.5000, 0.5000, 0.5000) and Br at (0.0000, 0.5000, 0.5000).



Here is an optimized crystal structure of LuZrIn2 from the Alexandria database. Energies are from PBE.

As for the total energy: -0.3609 Ry per atom.

The space group is P4/mmm (No. 123) and the conventional cell measures 3.7827, 3.7827 and 6.6294 Å, with angles of 90.00, 90.00 and 90.00 degrees. The distinct sites, in fractional coordinates, are Lu at (0.0000, 0.0000, 0.0000), Zr at (0.0000, 0.0000, 0.5000) and In at (0.5000, 0.5000, 0.2597).



Here is an optimized crystal structure of Pm3Nd6Ho2 from the Alexandria database. Energies are from PBE.

As for the total energy: -0.3466 Ry per atom.

The space group is R-3m (No. 166, hexagonal axes) and the conventional cell measures 3.6430, 3.6430 and 98.1153 Å, with angles of 90.00, 90.00 and 120.00 degrees. The distinct sites, in fractional coordinates, are Pm at (0.0000, 0.0000, 0.0000), Pm at (0.0000, 0.0000, 0.2722), Nd at (0.0000, 0.0000, 0.0918), Nd at (0.0000, 0.0000, 0.1822), Nd at (0.0000, 0.0000, 0.3640) and Ho at (0.0000, 0.0000, 0.4548).



> Which formula does entry 3 have?

Pm3Nd6Ho2